! GGA-PBE Sm4IrI5, relaxed; values from VASP
&SYSTEM
  ibrav = 0, nat = 10, ntyp = 3
/
ATOMIC_SPECIES
Sm 150.36 Sm.upf
Ir 192.22 Ir.upf
I 126.90 I.upf
CELL_PARAMETERS angstrom
9.8943 -2.1063 0.0000
9.8943 2.1063 0.0000
-2.0090 0.0000 8.8414
ATOMIC_POSITIONS crystal
Sm 0.0000 0.0000 0.2034
Sm 0.0000 0.0000 0.7966
Sm 0.3557 0.3557 0.9237
Sm 0.6443 0.6443 0.0763
Ir 0.5000 0.5000 0.0000
I 0.1680 0.1680 0.3446
I 0.1758 0.1758 0.8305
I 0.5000 0.5000 0.5000
I 0.8242 0.8242 0.1695
I 0.8320 0.8320 0.6554
! - E (eV per cell) = -47.45

***

! GGA-PBE KErAgSe3, relaxed; values from VASP
&SYSTEM
  ibrav = 0, nat = 12, ntyp = 4
/
ATOMIC_SPECIES
K 39.10 K.upf
Er 167.26 Er.upf
Ag 107.87 Ag.upf
Se 78.96 Se.upf
CELL_PARAMETERS angstrom
2.0432 -7.5934 0.0000
2.0432 7.5934 0.0000
0.0000 0.0000 10.7149
ATOMIC_POSITIONS crystal
K 0.2471 0.7529 0.7500
K 0.7529 0.2471 0.2500
Er 0.0000 0.0000 0.0000
Er 0.0000 0.0000 0.5000
Ag 0.4649 0.5351 0.2500
Ag 0.5351 0.4649 0.7500
Se 0.0755 0.9245 0.2500
Se 0.3716 0.6284 0.0466
Se 0.3716 0.6284 0.4534
Se 0.6284 0.3716 0.5466
Se 0.6284 0.3716 0.9534
Se 0.9245 0.0755 0.7500
! - E (eV per cell) = -51.25